AlCoTeN2 | GGA-PBE | optimized geometry

POSCAR file:
```
AlCoTeN2
1.0
3.6761 0.0000 0.0000
0.0000 3.6761 0.0000
0.0000 0.0000 6.2854
N Te Co Al
2 1 1 1
direct
0.0000 0.5000 0.0000 N
0.5000 0.0000 0.0000 N
0.0000 0.0000 0.5000 Te
0.5000 0.5000 0.5000 Co
0.0000 0.0000 0.0000 Al
```

energy relative to the elements, uncorrected: 0.94 eV/atom
VASP energy: -25.939 eV for the cell shown
spin magnetization: 0.587 μB/atom
calculated volume: 84.9 Å³/cell
ΔE to the lowest computed polymorph: 0 meV/atom

---

Sr2Mg2Bi3 | GGA-PBE | optimized geometry

POSCAR file:
```
Sr2Mg2Bi3
1.0
4.7740 0.0000 1.0582
2.2009 8.8740 1.3687
0.0155 -0.0228 11.2275
Bi Sr Mg
6 4 4
direct
0.6222 0.2246 0.5309 Bi
0.0892 0.9531 0.8684 Bi
0.9108 0.0469 0.1316 Bi
0.3778 0.7754 0.4691 Bi
0.8393 0.5043 0.8172 Bi
0.1607 0.4957 0.1828 Bi
0.2647 0.1369 0.3336 Sr
0.6016 0.7477 0.0491 Sr
0.7353 0.8631 0.6664 Sr
0.3984 0.2523 0.9509 Sr
0.9587 0.7675 0.3151 Mg
0.0413 0.2325 0.6849 Mg
0.5855 0.4872 0.3419 Mg
0.4145 0.5128 0.6581 Mg
```

ΔH_f (0 K): -434 kJ/mol of formula units
VASP energy: -45.382 eV for the cell shown
spin magnetization: 0.000 μB/atom
calculated volume: 475.6 Å³/cell